Density functional theory data (PBE) for crystalline Li2CaTm at its relaxed geometry.

Computed properties:
volume = 117 Å³ per cell
formation energy = 0.192 eV/atom
space-group type = No. 160
excess energy over the best structure of this formula in the dataset = 7.4 kJ per mole of atoms

Cell: 3.5138 3.5138 11.1302 Å, 80.92 80.92 60.00°
Sites, in units of the cell vectors:
Li 0.0866 0.0866 0.7401
Tm 0.5003 0.5003 0.4990
Li 0.2468 0.2468 0.2597
Ca 0.6663 0.6663 0.0012